DFT (PBE) results for Nd4BiSb2Te after structural relaxation.

Lattice parameters (Å, degrees): 4.5444 7.8697 7.8557 70.57 90.00 90.00
Closest atoms and distances in Å follow each position.
Element x y z (fractional)
Nd 0.5000 0.2418 0.7540  3 Sb 3.17-3.18, 1 Bi 3.24, 2 Te 3.25
Nd 0.0000 0.2433 0.2515  3 Sb 3.18-3.19, 2 Bi 3.24, 1 Te 3.24
Nd 0.0000 0.7567 0.7485  3 Sb 3.18-3.19, 2 Bi 3.24, 1 Te 3.24
Nd 0.5000 0.7582 0.2460  3 Sb 3.17-3.18, 1 Bi 3.24, 2 Te 3.25
Te 0.0000 0.5000 0.5000  6 Nd 3.24-3.25
Sb 0.0000 0.0000 0.0000  6 Nd 3.17-3.18
Sb 0.5000 0.0000 0.5000  6 Nd 3.18-3.19
Bi 0.5000 0.5000 0.0000  6 Nd 3.24

## Properties
The space-group type is P2/m, No. 10. For the total magnetization, the calculation gives 0.00 μB/f.u. The calculation puts the formation energy from raw total energies at -1.22 eV per atom. The value obtained for the volume is 265 Å³ per cell.

---

DFT (PBE) results for Nd6BiSb2Te3 after structural relaxation.

Lattice parameters (Å, degrees): 4.5303 9.0581 10.1445 103.00 102.90 90.00
Closest atoms and distances in Å follow each position.
Element x y z (fractional)
Nd 0.6675 0.0915 0.3349  2 Sb 3.15, 3 Te 3.22-3.25, 1 Bi 3.22
Nd 0.6692 0.5779 0.3385  3 Sb 3.15-3.16, 3 Te 3.25-3.26
Nd 0.3325 0.9085 0.6651  2 Sb 3.15, 3 Te 3.22-3.25, 1 Bi 3.22
Nd 0.9969 0.7487 0.9938  1 Sb 3.15, 2 Bi 3.20, 3 Te 3.21-3.24
Nd 0.0031 0.2513 0.0062  1 Sb 3.15, 2 Bi 3.20, 3 Te 3.21-3.24
Nd 0.3308 0.4221 0.6615  3 Sb 3.15-3.16, 3 Te 3.25-3.26
Te 0.1654 0.8332 0.3308  6 Nd 3.22-3.25
Te 0.8346 0.1668 0.6692  6 Nd 3.22-3.25
Te 0.5000 0.5000 0.0000  6 Nd 3.21-3.26
Sb 0.1669 0.3335 0.3338  6 Nd 3.15-3.16
Sb 0.8331 0.6665 0.6662  6 Nd 3.15-3.16
Bi 0.5000 0.0000 0.0000  6 Nd 3.20-3.22

## Properties
The space-group type is C2/m, No. 12. For the total magnetization, the calculation gives 0.00 μB/f.u. The calculation puts the formation energy from raw total energies at -1.30 eV per atom. The value obtained for the volume is 395 Å³ per cell.

---

DFT (PBE) results for Nd4Bi2SbTe after structural relaxation.

Lattice parameters (Å, degrees): 4.5685 7.8931 7.8984 70.53 90.00 90.00
Closest atoms and distances in Å follow each position.
Element x y z (fractional)
Sb 0.5000 0.5000 0.0000  6 Nd 3.20
Te 0.0000 0.5000 0.5000  6 Nd 3.23-3.24
Bi 0.5000 0.0000 0.5000  6 Nd 3.25
Bi 0.0000 0.0000 0.0000  6 Nd 3.22
Nd 0.0000 0.2537 0.2453  2 Sb 3.20, 3 Bi 3.22-3.25, 1 Te 3.23
Nd 0.5000 0.2506 0.7537  1 Sb 3.20, 3 Bi 3.22-3.25, 2 Te 3.24
Nd 0.5000 0.7494 0.2463  1 Sb 3.20, 3 Bi 3.22-3.25, 2 Te 3.24
Nd 0.0000 0.7463 0.7547  2 Sb 3.20, 3 Bi 3.22-3.25, 1 Te 3.23

## Properties
The space-group type is P2/m, No. 10. For the total magnetization, the calculation gives 0.00 μB/f.u. The calculation puts the formation energy from raw total energies at -1.16 eV per atom. The value obtained for the volume is 269 Å³ per cell.

---

DFT (PBE) results for Nd8Bi4SbTe3 after structural relaxation.

Lattice parameters (Å, degrees): 9.1298 9.1151 9.1315 120.05 119.99 90.00
Closest atoms and distances in Å follow each position.
Element x y z (fractional)
Nd 0.7508 0.7525 0.5017  3 Bi 3.21-3.22, 3 Te 3.24
Nd 0.7535 0.7488 0.0011  1 Sb 3.19, 3 Bi 3.22-3.26, 2 Te 3.23
Nd 0.2476 0.7488 0.0011  1 Sb 3.19, 3 Bi 3.22-3.26, 2 Te 3.23
Nd 0.2476 0.7488 0.4952  1 Sb 3.19, 3 Bi 3.22-3.26, 2 Te 3.23
Nd 0.2492 0.2475 0.4983  3 Bi 3.21-3.22, 3 Te 3.24
Nd 0.7524 0.2512 0.9989  1 Sb 3.19, 3 Bi 3.22-3.26, 2 Te 3.23
Nd 0.7524 0.2512 0.5048  1 Sb 3.19, 3 Bi 3.22-3.26, 2 Te 3.23
Nd 0.2465 0.2512 0.9989  1 Sb 3.19, 3 Bi 3.22-3.26, 2 Te 3.23
Te 0.5000 0.5000 0.5000  6 Nd 3.23-3.24
Te 0.0000 0.5000 0.5000  6 Nd 3.23-3.24
Te 0.5000 0.5000 0.0000  6 Nd 3.23-3.24
Bi 0.0000 0.0000 0.5000  6 Nd 3.21-3.22
Bi 0.0000 0.0000 0.0000  6 Nd 3.22
Bi 0.5000 0.0000 0.0000  6 Nd 3.26
Bi 0.5000 0.0000 0.5000  6 Nd 3.21-3.22
Sb 0.0000 0.5000 0.0000  6 Nd 3.19

## Properties
The space-group type is R-3m, No. 166. For the total magnetization, the calculation gives 0.00 μB/f.u. The calculation puts the formation energy from raw total energies at -1.18 eV per atom. The value obtained for the volume is 537 Å³ per cell.

---

DFT (PBE) results for Nd6BiSb3Te2 after structural relaxation.

Lattice parameters (Å, degrees): 4.5360 9.0703 10.1478 103.10 102.91 90.00
Closest atoms and distances in Å follow each position.
Element x y z (fractional)
Nd 0.9983 0.2531 0.9966  3 Sb 3.18, 2 Bi 3.23, 1 Te 3.25
Nd 0.6640 0.5887 0.3279  3 Sb 3.16, 3 Te 3.25
Nd 0.0017 0.7469 0.0034  3 Sb 3.18, 2 Bi 3.23, 1 Te 3.25
Nd 0.3321 0.9223 0.6642  3 Sb 3.17, 1 Bi 3.23, 2 Te 3.25
Nd 0.3360 0.4113 0.6721  3 Sb 3.16, 3 Te 3.25
Nd 0.6679 0.0777 0.3358  3 Sb 3.17, 1 Bi 3.23, 2 Te 3.25
Te 0.8326 0.6654 0.6652  6 Nd 3.25
Te 0.1674 0.3346 0.3348  6 Nd 3.25
Sb 0.5000 0.5000 0.0000  6 Nd 3.16-3.18
Sb 0.8329 0.1671 0.6658  6 Nd 3.16-3.18
Sb 0.1671 0.8329 0.3342  6 Nd 3.16-3.18
Bi 0.5000 0.0000 0.0000  6 Nd 3.23

## Properties
The space-group type is C2/m, No. 12. For the total magnetization, the calculation gives 0.00 μB/f.u. The calculation puts the formation energy from raw total energies at -1.26 eV per atom. The value obtained for the volume is 396 Å³ per cell.

---

DFT (PBE) results for Nd4BiSbTe2 after structural relaxation.

Lattice parameters (Å, degrees): 4.5425 7.8465 7.8747 70.43 90.00 90.00
Closest atoms and distances in Å follow each position.
Element x y z (fractional)
Nd 0.0000 0.2542 0.2532  1 Sb 3.16, 2 Bi 3.21, 3 Te 3.21-3.26
Nd 0.0000 0.7458 0.7468  1 Sb 3.16, 2 Bi 3.21, 3 Te 3.21-3.26
Nd 0.5000 0.2575 0.7431  2 Sb 3.16, 1 Bi 3.21, 3 Te 3.22-3.25
Nd 0.5000 0.7425 0.2568  2 Sb 3.16, 1 Bi 3.21, 3 Te 3.22-3.25
Bi 0.5000 0.5000 0.0000  6 Nd 3.21
Sb 0.0000 0.5000 0.5000  6 Nd 3.16
Te 0.5000 0.0000 0.5000  6 Nd 3.21-3.22
Te 0.0000 0.0000 0.0000  6 Nd 3.25-3.26

## Properties
The space-group type is P2/m, No. 10. For the total magnetization, the calculation gives 0.00 μB/f.u. The calculation puts the formation energy from raw total energies at -1.28 eV per atom. The value obtained for the volume is 264 Å³ per cell.

---

DFT (PBE) results for Nd6Bi2Sb3Te after structural relaxation.

Lattice parameters (Å, degrees): 4.5490 9.1078 10.1679 102.94 102.93 90.00
Closest atoms and distances in Å follow each position.
Element x y z (fractional)
Te 0.5000 0.0000 0.0000  6 Nd 3.24-3.26
Nd 0.3318 0.9204 0.6636  3 Sb 3.19, 2 Bi 3.24, 1 Te 3.24
Nd 0.9985 0.2555 0.9970  3 Sb 3.18, 1 Bi 3.24, 2 Te 3.26
Nd 0.6682 0.0796 0.3364  3 Sb 3.19, 2 Bi 3.24, 1 Te 3.24
Nd 0.0015 0.7445 0.0030  3 Sb 3.18, 1 Bi 3.24, 2 Te 3.26
Nd 0.6654 0.5861 0.3307  3 Sb 3.19-3.20, 3 Bi 3.25
Nd 0.3346 0.4139 0.6693  3 Sb 3.19-3.20, 3 Bi 3.25
Sb 0.8337 0.1667 0.6674  6 Nd 3.18-3.20
Sb 0.1663 0.8333 0.3326  6 Nd 3.18-3.20
Sb 0.5000 0.5000 0.0000  6 Nd 3.18-3.19
Bi 0.8337 0.6680 0.6675  6 Nd 3.24-3.25
Bi 0.1663 0.3320 0.3325  6 Nd 3.24-3.25

## Properties
The space-group type is C2/m, No. 12. For the total magnetization, the calculation gives 0.00 μB/f.u. The calculation puts the formation energy from raw total energies at -1.17 eV per atom. The value obtained for the volume is 400 Å³ per cell.

---

DFT (PBE) results for Nd6Bi3Sb2Te after structural relaxation.

Lattice parameters (Å, degrees): 4.5641 9.1323 10.1949 102.84 102.93 90.00
Closest atoms and distances in Å follow each position.
Element x y z (fractional)
Nd 0.9983 0.7471 0.9966  1 Sb 3.19, 3 Bi 3.21-3.24, 2 Te 3.24
Nd 0.3319 0.4205 0.6637  3 Sb 3.20, 3 Bi 3.25-3.26
Nd 0.6681 0.5795 0.3363  3 Sb 3.20, 3 Bi 3.25-3.26
Nd 0.0017 0.2529 0.0034  1 Sb 3.19, 3 Bi 3.21-3.24, 2 Te 3.24
Nd 0.3324 0.9121 0.6648  2 Sb 3.20, 3 Bi 3.23-3.25, 1 Te 3.24
Nd 0.6676 0.0879 0.3352  2 Sb 3.20, 3 Bi 3.23-3.25, 1 Te 3.24
Sb 0.1665 0.3324 0.3331  6 Nd 3.19-3.20
Sb 0.8335 0.6676 0.6669  6 Nd 3.19-3.20
Bi 0.1656 0.8332 0.3312  6 Nd 3.23-3.26
Bi 0.8344 0.1668 0.6688  6 Nd 3.23-3.26
Bi 0.5000 0.5000 0.0000  6 Nd 3.21-3.25
Te 0.5000 0.0000 0.0000  6 Nd 3.24

## Properties
The space-group type is C2/m, No. 12. For the total magnetization, the calculation gives 0.00 μB/f.u. The calculation puts the formation energy from raw total energies at -1.13 eV per atom. The value obtained for the volume is 403 Å³ per cell.

---

DFT (PBE) results for NdThBiSb after structural relaxation.

Lattice parameters (Å, degrees): 5.5402 5.5402 5.5402 60.00 60.00 60.00
Closest atoms and distances in Å follow each position.
Element x y z (fractional)
Sb 0.0000 0.0000 0.0000  4 Nd 3.39, 4 Th 3.39
Nd 0.2500 0.2500 0.2500  4 Sb 3.39, 4 Bi 3.39
Th 0.7500 0.7500 0.7500  4 Bi 3.39, 4 Sb 3.39
Bi 0.5000 0.5000 0.5000  4 Th 3.39, 4 Nd 3.39

## Properties
The space-group type is F-43m, No. 216. For the total magnetization, the calculation gives 0.00 μB/f.u. The value obtained for the energy above the most stable polymorph in this dataset is 19.6 kJ per mole of atoms. The calculation puts the formation energy from raw total energies at -0.71 eV per atom. The value obtained for the volume is 120 Å³ per cell.

---

DFT (PBE) results for NdThBiSb after structural relaxation.

Lattice parameters (Å, degrees): 4.5559 4.5559 7.9007 73.24 73.24 60.00
Closest atoms and distances in Å follow each position.
Element x y z (fractional)
Sb 0.1938 0.1938 0.4185  3 Th 3.19, 3 Nd 3.19
Th 0.4467 0.4467 0.6598  3 Sb 3.19, 3 Bi 3.25
Nd 0.9414 0.9414 0.1758  3 Sb 3.19, 3 Bi 3.26
Bi 0.6945 0.6945 0.9166  3 Th 3.25, 3 Nd 3.26

## Properties
The space-group type is R3m, No. 160. For the total magnetization, the calculation gives 0.00 μB/f.u. The value obtained for the energy above the most stable polymorph in this dataset is 0.0 kJ per mole of atoms. The calculation puts the formation energy from raw total energies at -0.92 eV per atom. The value obtained for the volume is 134 Å³ per cell.

---

DFT (PBE) results for Nd2Tm3Bi2Sb2 after structural relaxation.

Lattice parameters (Å, degrees): 6.0289 6.0289 8.7908 110.05 110.05 90.00
Closest atoms and distances in Å follow each position.
Element x y z (fractional)
Bi 0.2008 0.2008 0.4016  5 Tm 3.09-3.11, 1 Nd 3.18
Bi 0.7992 0.7992 0.5984  5 Tm 3.09-3.11, 1 Nd 3.18
Sb 0.5000 0.0000 0.0000  2 Tm 3.01, 4 Nd 3.33
Sb 0.0000 0.5000 0.0000  2 Tm 3.01, 4 Nd 3.33
Tm 0.0000 0.0000 0.0000  4 Sb 3.01, 2 Bi 3.09
Tm 0.7500 0.2500 0.5000  4 Bi 3.11
Tm 0.2500 0.7500 0.5000  4 Bi 3.11
Nd 0.5924 0.5924 0.1849  1 Nd 2.84, 1 Bi 3.18
Nd 0.4076 0.4076 0.8151  1 Nd 2.84, 1 Bi 3.18

## Properties
The space-group type is I4/mmm, No. 139. For the total magnetization, the calculation gives 0.00 μB/f.u. The calculation puts the formation energy from raw total energies at -0.60 eV per atom. The value obtained for the volume is 279 Å³ per cell.

---

DFT (PBE) results for NdYBiSb after structural relaxation.

Lattice parameters (Å, degrees): 4.5038 4.5038 7.7934 73.20 73.20 60.00
Closest atoms and distances in Å follow each position.
Element x y z (fractional)
Bi 0.9414 0.9414 0.1759  3 Y 3.17, 3 Nd 3.24
Y 0.1921 0.1921 0.4238  3 Sb 3.12, 3 Bi 3.17
Nd 0.6961 0.6961 0.9117  3 Sb 3.19, 3 Bi 3.24
Sb 0.4469 0.4469 0.6594  3 Y 3.12, 3 Nd 3.19

## Properties
The space-group type is R3m, No. 160. For the total magnetization, the calculation gives 0.00 μB/f.u. The calculation puts the formation energy from raw total energies at -1.05 eV per atom. The value obtained for the volume is 129 Å³ per cell.